#w
Density functional theory data (PBE) for CaEuY after structural relaxation.

```
3
Lattice="3.751 0.000 0.000 -1.875 3.248 0.000 0.000 0.000 9.327" Properties=species:S:1:pos:R:3 pbc="T T T"
Ca 0.000 0.000 0.000
Eu 1.875 1.083 3.289
Y 0.000 2.166 6.270
```

ρ	4.105	Mg/m³
symmetry	P3m1 (156)
crystal system	trigonal
M_tot	7.91	μB/f.u.
density of states at the Fermi level	4.28	states/eV per cell
V	114	Å³ per cell

***

#x
Density functional theory data (PBE) for CaEuY after structural relaxation.

```
3
Lattice="-1.877 1.877 8.145 1.877 -1.877 8.145 1.877 1.877 -8.145" Properties=species:S:1:pos:R:3 pbc="T T T"
Ca 0.000 0.000 0.000
Eu 0.000 0.000 5.202
Y 0.000 0.000 10.804
```

ρ	4.063	Mg/m³
symmetry	I4mm (107)
crystal system	tetragonal
M_tot	8.28	μB/f.u.
density of states at the Fermi level	3.80	states/eV per cell
V	115	Å³ per cell

***

Stability, highest: #w